Record 1
# In2ReNi (GGA-PBE, relaxed)
# Energy of formation from the pure elements: 1.620 eV per formula unit
# ΔE to the lowest computed polymorph: 72 meV/atom
# V: 204.6 Å³/cell
data_In2ReNi
_space_group_name_H-M_alt 'R -3 m'
_space_group_IT_number 166
_space_group_name_Hall '-R 3 2"'
_cell_length_a 3.0013
_cell_length_b 3.0013
_cell_length_c 26.2215
_cell_angle_alpha 90.00
_cell_angle_beta 90.00
_cell_angle_gamma 120.00
loop_
_atom_site_label
_atom_site_type_symbol
_atom_site_fract_x
_atom_site_fract_y
_atom_site_fract_z
_atom_site_occupancy
In1 In 0.0000 0.0000 0.2447 1
Re1 Re 0.0000 0.0000 0.0000 1
Ni1 Ni 0.0000 0.0000 0.5000 1

---

Record 2
# InReNi (GGA-PBE, relaxed)
# Energy of formation from the pure elements: 1.807 eV per formula unit
# ΔE to the lowest computed polymorph: 336 meV/atom
# V: 207.2 Å³/cell
data_InReNi
_space_group_name_H-M_alt 'F -4 3 m'
_space_group_IT_number 216
_space_group_name_Hall 'F -4 2 3'
_cell_length_a 5.918
_cell_length_b 5.918
_cell_length_c 5.918
_cell_angle_alpha 90.00
_cell_angle_beta 90.00
_cell_angle_gamma 90.00
loop_
_atom_site_label
_atom_site_type_symbol
_atom_site_fract_x
_atom_site_fract_y
_atom_site_fract_z
_atom_site_occupancy
In1 In 0.000 0.000 0.000 1
Re1 Re 0.000 0.000 0.500 1
Ni1 Ni 0.250 0.250 0.250 1

---

Record 3
# InReNi2 (GGA-PBE, relaxed)
# Energy of formation from the pure elements: 0.291 eV per formula unit
# V: 56.6 Å³/cell
data_InReNi2
_space_group_name_H-M_alt 'P 4/m m m'
_space_group_IT_number 123
_space_group_name_Hall '-P 4 2'
_cell_length_a 2.781
_cell_length_b 2.781
_cell_length_c 7.325
_cell_angle_alpha 90.00
_cell_angle_beta 90.00
_cell_angle_gamma 90.00
loop_
_atom_site_label
_atom_site_type_symbol
_atom_site_fract_x
_atom_site_fract_y
_atom_site_fract_z
_atom_site_occupancy
In1 In 0.000 0.000 0.000 1
Re1 Re 0.000 0.000 0.500 1
Ni1 Ni 0.500 0.500 0.268 1

---

Record 4
# InReNi2 (GGA-PBE, relaxed)
# Energy of formation from the pure elements: 1.028 eV per formula unit
# V: 113.3 Å³/cell
data_InReNi2
_space_group_name_H-M_alt 'I m m 2'
_space_group_IT_number 44
_cell_length_a 2.769
_cell_length_b 4.496
_cell_length_c 9.103
_cell_angle_alpha 90.00
_cell_angle_beta 90.00
_cell_angle_gamma 90.00
loop_
_space_group_symop_operation_xyz
'x,y,z'
'-x,-y,z'
'-x,y,z'
'x,-y,z'
'x+1/2,y+1/2,z+1/2'
'-x+1/2,-y+1/2,z+1/2'
'-x+1/2,y+1/2,z+1/2'
'x+1/2,-y+1/2,z+1/2'
loop_
_atom_site_label
_atom_site_type_symbol
_atom_site_fract_x
_atom_site_fract_y
_atom_site_fract_z
_atom_site_occupancy
In1 In 0.000 0.000 0.000 1
Re1 Re 0.000 0.500 0.777 1
Ni1 Ni 0.000 0.000 0.517 1
Ni2 Ni 0.000 0.500 0.248 1

---

Record 5
# InReNi2 (GGA-PBE, relaxed)
# Energy of formation from the pure elements: 0.893 eV per formula unit
# V: 112.6 Å³/cell
data_InReNi2
_space_group_name_H-M_alt 'C m m m'
_space_group_IT_number 65
_space_group_name_Hall '-C 2 2'
_cell_length_a 5.805
_cell_length_b 7.073
_cell_length_c 2.743
_cell_angle_alpha 90.00
_cell_angle_beta 90.00
_cell_angle_gamma 90.00
loop_
_atom_site_label
_atom_site_type_symbol
_atom_site_fract_x
_atom_site_fract_y
_atom_site_fract_z
_atom_site_occupancy
In1 In 0.000 0.000 0.000 1
Re1 Re 0.000 0.500 0.000 1
Ni1 Ni 0.250 0.250 0.500 1

---

Record 6
# In2Re2Ni (GGA-PBE, relaxed)
# Energy of formation from the pure elements: 6.121 eV per formula unit
# ΔE to the lowest computed polymorph: 680 meV/atom
# V: 191.6 Å³/cell
data_In2Re2Ni
_space_group_name_H-M_alt 'I 4/m m m'
_space_group_IT_number 139
_space_group_name_Hall '-I 4 2'
_cell_length_a 3.778
_cell_length_b 3.778
_cell_length_c 13.420
_cell_angle_alpha 90.00
_cell_angle_beta 90.00
_cell_angle_gamma 90.00
loop_
_atom_site_label
_atom_site_type_symbol
_atom_site_fract_x
_atom_site_fract_y
_atom_site_fract_z
_atom_site_occupancy
In1 In 0.000 0.500 0.250 1
Re1 Re 0.000 0.000 0.085 1
Ni1 Ni 0.000 0.000 0.500 1

---

Record 7
# In2ReNi (GGA-PBE, relaxed)
# Energy of formation from the pure elements: 1.839 eV per formula unit
# ΔE to the lowest computed polymorph: 127 meV/atom
# V: 271.3 Å³/cell
data_In2ReNi
_space_group_name_H-M_alt 'F m -3 m'
_space_group_IT_number 225
_space_group_name_Hall '-F 4 2 3'
_cell_length_a 6.474
_cell_length_b 6.474
_cell_length_c 6.474
_cell_angle_alpha 90.00
_cell_angle_beta 90.00
_cell_angle_gamma 90.00
loop_
_atom_site_label
_atom_site_type_symbol
_atom_site_fract_x
_atom_site_fract_y
_atom_site_fract_z
_atom_site_occupancy
In1 In 0.250 0.250 0.250 1
Re1 Re 0.000 0.000 0.000 1
Ni1 Ni 0.000 0.000 0.500 1

---

Record 8
# In2Re2Ni (GGA-PBE, relaxed)
# Energy of formation from the pure elements: 2.720 eV per formula unit
# ΔE to the lowest computed polymorph: 0 meV/atom
# V: 180.8 Å³/cell
data_In2Re2Ni
_space_group_name_H-M_alt 'P 4/m b m'
_space_group_IT_number 127
_space_group_name_Hall '-P 4 2ab'
_cell_length_a 6.400
_cell_length_b 6.400
_cell_length_c 4.413
_cell_angle_alpha 90.00
_cell_angle_beta 90.00
_cell_angle_gamma 90.00
loop_
_atom_site_label
_atom_site_type_symbol
_atom_site_fract_x
_atom_site_fract_y
_atom_site_fract_z
_atom_site_occupancy
In1 In 0.176 0.324 0.000 1
Re1 Re 0.131 0.631 0.500 1
Ni1 Ni 0.000 0.000 0.500 1

---

Record 9
# InReNi2Sb (GGA-PBE, relaxed)
# E_form (uncorrected): 1.530 eV per atom
# V: 106.8 Å³/cell
data_InReNi2Sb
_space_group_name_H-M_alt 'P 4/m m m'
_space_group_IT_number 123
_space_group_name_Hall '-P 4 2'
_cell_length_a 4.591
_cell_length_b 4.591
_cell_length_c 5.066
_cell_angle_alpha 90.00
_cell_angle_beta 90.00
_cell_angle_gamma 90.00
loop_
_atom_site_label
_atom_site_type_symbol
_atom_site_fract_x
_atom_site_fract_y
_atom_site_fract_z
_atom_site_occupancy
In1 In 0.000 0.000 0.000 1
Re1 Re 0.000 0.000 0.500 1
Ni1 Ni 0.000 0.500 0.000 1
Sb1 Sb 0.500 0.500 0.500 1

---

Record 10
# InReSiNi2 (GGA-PBE, relaxed)
# E_form (uncorrected): 1.892 eV per atom
# V: 102.0 Å³/cell
data_InReSiNi2
_space_group_name_H-M_alt 'P 4/m m m'
_space_group_IT_number 123
_space_group_name_Hall '-P 4 2'
_cell_length_a 4.504
_cell_length_b 4.504
_cell_length_c 5.026
_cell_angle_alpha 90.00
_cell_angle_beta 90.00
_cell_angle_gamma 90.00
loop_
_atom_site_label
_atom_site_type_symbol
_atom_site_fract_x
_atom_site_fract_y
_atom_site_fract_z
_atom_site_occupancy
In1 In 0.000 0.000 0.000 1
Re1 Re 0.000 0.000 0.500 1
Si1 Si 0.500 0.500 0.500 1
Ni1 Ni 0.000 0.500 0.000 1

---

Record 11
# Ta2InReNi (GGA-PBE, relaxed)
# Energy of formation from the pure elements: 13.348 eV per formula unit
# V: 116.9 Å³/cell
data_Ta2InReNi
_space_group_name_H-M_alt 'P 4/m m m'
_space_group_IT_number 123
_space_group_name_Hall '-P 4 2'
_cell_length_a 4.943
_cell_length_b 4.943
_cell_length_c 4.783
_cell_angle_alpha 90.00
_cell_angle_beta 90.00
_cell_angle_gamma 90.00
loop_
_atom_site_label
_atom_site_type_symbol
_atom_site_fract_x
_atom_site_fract_y
_atom_site_fract_z
_atom_site_occupancy
Ta1 Ta 0.000 0.500 0.000 1
In1 In 0.000 0.000 0.000 1
Re1 Re 0.000 0.000 0.500 1
Ni1 Ni 0.500 0.500 0.500 1

---

Record 12
# ZnInReNi2 (GGA-PBE, relaxed)
# Energy of formation from the pure elements: 8.935 eV per formula unit
# V: 97.9 Å³/cell
data_ZnInReNi2
_space_group_name_H-M_alt 'P 4/m m m'
_space_group_IT_number 123
_space_group_name_Hall '-P 4 2'
_cell_length_a 4.579
_cell_length_b 4.579
_cell_length_c 4.670
_cell_angle_alpha 90.00
_cell_angle_beta 90.00
_cell_angle_gamma 90.00
loop_
_atom_site_label
_atom_site_type_symbol
_atom_site_fract_x
_atom_site_fract_y
_atom_site_fract_z
_atom_site_occupancy
Zn1 Zn 0.000 0.000 0.000 1
In1 In 0.000 0.000 0.500 1
Re1 Re 0.500 0.500 0.000 1
Ni1 Ni 0.000 0.500 0.500 1

---

Record 13
# InNi2Rh2 (GGA-PBE, relaxed)
# Energy of formation from the pure elements: 1.153 eV per formula unit
# ΔE to the lowest computed polymorph: 169 meV/atom
# V: 155.4 Å³/cell
data_InNi2Rh2
_space_group_name_H-M_alt 'I 4/m m m'
_space_group_IT_number 139
_space_group_name_Hall '-I 4 2'
_cell_length_a 3.674
_cell_length_b 3.674
_cell_length_c 11.508
_cell_angle_alpha 90.00
_cell_angle_beta 90.00
_cell_angle_gamma 90.00
loop_
_atom_site_label
_atom_site_type_symbol
_atom_site_fract_x
_atom_site_fract_y
_atom_site_fract_z
_atom_site_occupancy
In1 In 0.000 0.000 0.000 1
Ni1 Ni 0.000 0.000 0.401 1
Rh1 Rh 0.000 0.500 0.250 1

---

Record 14
# InNiRh4 (GGA-PBE, relaxed)
# Energy of formation from the pure elements: 1.484 eV per formula unit
# V: 383.8 Å³/cell
data_InNiRh4
_space_group_name_H-M_alt 'F -4 3 m'
_space_group_IT_number 216
_space_group_name_Hall 'F -4 2 3'
_cell_length_a 7.267
_cell_length_b 7.267
_cell_length_c 7.267
_cell_angle_alpha 90.00
_cell_angle_beta 90.00
_cell_angle_gamma 90.00
loop_
_atom_site_label
_atom_site_type_symbol
_atom_site_fract_x
_atom_site_fract_y
_atom_site_fract_z
_atom_site_occupancy
In1 In 0.000 0.000 0.000 1
Ni1 Ni 0.250 0.250 0.750 1
Rh1 Rh 0.125 0.125 0.375 1